Entry 1:
Compound: AgAsIr2N
Source: the Alexandria database
Functional: PBE
Structure: relaxed

Cell: 4.065 4.065 4.532 Å, 90.00 90.00 90.00°
Space group P4/mmm (No. 123)
Unique sites:
Ag  0.000  0.000  0.000 [1 per cell]
As  0.500  0.500  0.000 [1 per cell]
Ir  0.000  0.500  0.500 [2 per cell]
N  0.500  0.500  0.500 [1 per cell]

E_form (uncorrected)   71 kJ per mole of atoms

Entry 2:
Compound: NaAgAs2Ir
Source: the Alexandria database
Functional: PBE
Structure: relaxed

Cell: 4.735 4.735 5.390 Å, 90.00 90.00 90.00°
Space group P4/mmm (No. 123)
Unique sites:
Na  0.000  0.000  0.000 [1 per cell]
Ag  0.500  0.500  0.000 [1 per cell]
As  0.000  0.500  0.500 [2 per cell]
Ir  0.000  0.000  0.500 [1 per cell]

ΔH_f (0 K)   0.343 eV/atom

Entry 3:
Compound: AgAsIrO6
Source: the Alexandria database
Functional: PBE
Structure: relaxed

Cell: 5.1171 5.1171 9.7402 Å, 90.00 90.00 120.00°
Space group P-31c (No. 163)
Unique sites:
Ag  0.0000  0.0000  0.0000 [2 per cell]
As  0.3333  0.6667  0.2500 [2 per cell]
Ir  0.3333  0.6667  0.7500 [2 per cell]
O  0.0097  0.3825  0.1408 [12 per cell]

E_form (uncorrected)   -70 kJ per mole of atoms

Entry 4:
Compound: Ag2AsIrPb
Source: the Alexandria database
Functional: PBE
Structure: relaxed

Cell: 5.250 5.250 4.529 Å, 90.00 90.00 90.00°
Space group P4/mmm (No. 123)
Unique sites:
Ag  0.000  0.500  0.000 [2 per cell]
As  0.000  0.000  0.500 [1 per cell]
Ir  0.000  0.000  0.000 [1 per cell]
Pb  0.500  0.500  0.500 [1 per cell]

ΔH_f (0 K)   0.353 eV/atom

Entry 5:
Compound: RbAgAsIr
Source: the Alexandria database
Functional: PBE
Structure: relaxed

Cell: 4.036 4.036 13.133 Å, 90.00 90.00 90.00°
Space group P4/nmm (No. 129, origin choice 2)
Unique sites:
Rb  0.250  0.250  0.232 [2 per cell]
Ag  0.250  0.750  0.000 [2 per cell]
As  0.250  0.250  0.608 [2 per cell]
Ir  0.250  0.750  0.500 [2 per cell]

ΔH_f (0 K)   -0.240 eV/atom

Entry 6:
Compound: RbAgAs2Ir
Source: the Alexandria database
Functional: PBE
Structure: relaxed

Cell: 4.974 4.974 5.514 Å, 90.00 90.00 90.00°
Space group P4/mmm (No. 123)
Unique sites:
Rb  0.000  0.000  0.000 [1 per cell]
Ag  0.000  0.000  0.500 [1 per cell]
As  0.000  0.500  0.500 [2 per cell]
Ir  0.500  0.500  0.000 [1 per cell]

ΔH_f (0 K)   1.351 eV/atom

Entry 7:
Compound: AgAsIr2Rh
Source: the Alexandria database
Functional: PBE
Structure: relaxed

Cell: 4.568 4.568 4.553 Å, 90.00 90.00 90.00°
Space group P4/mmm (No. 123)
Unique sites:
Ag  0.000  0.000  0.000 [1 per cell]
As  0.500  0.500  0.500 [1 per cell]
Ir  0.000  0.500  0.500 [2 per cell]
Rh  0.500  0.500  0.000 [1 per cell]

ΔH_f (0 K)   0.835 eV/atom

Entry 8:
Compound: KAgAs2
Source: the Alexandria database
Functional: PBE
Structure: relaxed

Cell: 4.586 4.586 8.729 Å, 90.00 90.00 90.00°
Space group I-4m2 (No. 119)
Unique sites:
K  0.000  0.000  0.000 [2 per cell]
Ag  0.000  0.500  0.750 [2 per cell]
As  0.000  0.000  0.500 [2 per cell]
As  0.000  0.500  0.250 [2 per cell]

ΔH_f (0 K)   0.247 eV/atom
E above lowest polymorph   39.5 kJ per mole of atoms

Entry 9:
Compound: KAg3As2
Source: the Alexandria database
Functional: PBE
Structure: relaxed

Cell: 17.532 4.466 8.587 Å, 90.00 119.28 90.00°
Space group C2/m (No. 12)
Unique sites:
K  0.156  0.000  0.156 [4 per cell]
Ag  0.000  0.000  0.334 [4 per cell]
Ag  0.132  0.500  0.465 [4 per cell]
Ag  0.132  0.500  0.799 [4 per cell]
As  0.000  0.500  0.140 [4 per cell]
As  0.166  0.000  0.666 [4 per cell]

ΔH_f (0 K)   -0.028 eV/atom

Entry 10:
Compound: KAgAs2
Source: the Alexandria database
Functional: PBE
Structure: relaxed

Cell: 4.451 4.451 9.286 Å, 90.00 90.00 90.00°
Space group I4/mmm (No. 139)
Unique sites:
K  0.000  0.000  0.000 [2 per cell]
Ag  0.000  0.000  0.500 [2 per cell]
As  0.000  0.500  0.250 [4 per cell]

ΔH_f (0 K)   0.260 eV/atom
E above lowest polymorph   40.8 kJ per mole of atoms

Entry 11:
Compound: KAgAs2
Source: the Alexandria database
Functional: PBE
Structure: relaxed

Cell: 7.181 7.181 7.181 Å, 90.00 90.00 90.00°
Space group F-43m (No. 216)
Unique sites:
K  0.000  0.000  0.000 [4 per cell]
Ag  0.250  0.250  0.750 [4 per cell]
As  0.000  0.000  0.500 [4 per cell]
As  0.250  0.250  0.250 [4 per cell]

ΔH_f (0 K)   0.266 eV/atom
E above lowest polymorph   41.4 kJ per mole of atoms

Entry 12:
Compound: KAg4As
Source: the Alexandria database
Functional: PBE
Structure: relaxed

Cell: 8.029 8.029 8.029 Å, 90.00 90.00 90.00°
Space group F-43m (No. 216)
Unique sites:
K  0.000  0.000  0.000 [4 per cell]
Ag  0.125  0.125  0.625 [16 per cell]
As  0.250  0.250  0.250 [4 per cell]

ΔH_f (0 K)   0.090 eV/atom

Number 3 is which compound? AgAsIrO6

What did the fourth record say?
Compound: Ag2AsIrPb
Source: the Alexandria database
Functional: PBE
Structure: relaxed

Cell: 5.250 5.250 4.529 Å, 90.00 90.00 90.00°
Space group P4/mmm (No. 123)
Unique sites:
Ag  0.000  0.500  0.000 [2 per cell]
As  0.000  0.000  0.500 [1 per cell]
Ir  0.000  0.000  0.000 [1 per cell]
Pb  0.500  0.500  0.500 [1 per cell]

ΔH_f (0 K)   0.353 eV/atom